1.
The following is a DFT calculation (PBE-GGA) of a relaxed TaBeTc2 crystal. Values from VASP.

Cell and atoms, written as Quantum ESPRESSO input:
```
&SYSTEM
  ibrav = 0, nat = 12, ntyp = 3
/
ATOMIC_SPECIES
Ta 180.95 Ta.upf
Be 9.01 Be.upf
Tc 98.00 Tc.upf
ATOMIC_POSITIONS angstrom
Ta 0.000 0.000 0.000
Ta 0.000 1.768 14.105
Ta 1.531 0.884 7.053
Be 0.000 0.000 10.579
Be 0.000 1.768 3.526
Be 1.531 0.884 17.631
Tc 0.000 0.000 5.018
Tc 0.000 0.000 16.140
Tc 0.000 1.768 9.087
Tc 0.000 1.768 19.123
Tc 1.531 0.884 2.034
Tc 1.531 0.884 12.071
CELL_PARAMETERS angstrom
3.063 0.000 0.000
-1.531 2.652 0.000
0.000 0.000 21.158
```

Output
calculated density: 11.19 g cm⁻³
SG: R-3m, No. 166
DOS at the Fermi energy: 0.718 states/eV per atom
energy: -108.066 eV per cell
DFT formation energy: 72 meV/atom

=====

2.
The following is a DFT calculation (PBE-GGA) of a relaxed Ta2BeTc crystal. Values from VASP.

Cell and atoms, written as Quantum ESPRESSO input:
```
&SYSTEM
  ibrav = 0, nat = 8, ntyp = 3
/
ATOMIC_SPECIES
Ta 180.95 Ta.upf
Be 9.01 Be.upf
Tc 98.00 Tc.upf
ATOMIC_POSITIONS angstrom
Ta 1.374 2.139 0.000
Ta 1.374 6.416 0.000
Ta 4.121 2.139 0.000
Ta 4.121 6.416 0.000
Be -0.416 0.000 1.314
Be 2.331 4.277 1.314
Tc -0.416 4.277 1.314
Tc 2.331 0.000 1.314
CELL_PARAMETERS angstrom
5.495 0.000 0.000
0.000 8.555 0.000
-0.832 0.000 2.627
```

Output
calculated density: 12.61 g cm⁻³
SG: C2/m, No. 12
DOS at the Fermi energy: 0.681 states/eV per atom
energy: -75.185 eV per cell
DFT formation energy: 51 meV/atom

=====

3.
The following is a DFT calculation (PBE-GGA) of a relaxed TaBeTc3 crystal. Values from VASP.

Cell and atoms, written as Quantum ESPRESSO input:
```
&SYSTEM
  ibrav = 0, nat = 5, ntyp = 3
/
ATOMIC_SPECIES
Ta 180.95 Ta.upf
Be 9.01 Be.upf
Tc 98.00 Tc.upf
ATOMIC_POSITIONS angstrom
Ta 0.000 0.000 0.000
Be 2.083 2.083 2.083
Tc 0.000 2.083 2.083
Tc 2.083 0.000 2.083
Tc 2.083 2.083 0.000
CELL_PARAMETERS angstrom
4.166 0.000 0.000
0.000 4.166 0.000
0.000 0.000 4.166
```

Output
calculated density: 11.12 g cm⁻³
SG: Pm-3m, No. 221
energy above the most stable polymorph in this dataset: 0 meV/atom
DOS at the Fermi energy: 1.639 states/eV per atom
energy: -45.008 eV per cell
DFT formation energy: 334 meV/atom

=====

4.
The following is a DFT calculation (PBE-GGA) of a relaxed Ta2BeTc crystal. Values from VASP.

Cell and atoms, written as Quantum ESPRESSO input:
```
&SYSTEM
  ibrav = 0, nat = 4, ntyp = 3
/
ATOMIC_SPECIES
Ta 180.95 Ta.upf
Be 9.01 Be.upf
Tc 98.00 Tc.upf
ATOMIC_POSITIONS angstrom
Ta 0.000 0.000 0.000
Ta 1.596 1.596 1.787
Be 1.596 1.596 4.493
Tc 0.000 0.000 3.386
CELL_PARAMETERS angstrom
3.192 0.000 0.000
0.000 3.192 0.000
0.000 0.000 5.936
```

Output
calculated density: 12.87 g cm⁻³
SG: P4mm, No. 99
DOS at the Fermi energy: 0.290 states/eV per atom
energy: -38.435 eV per cell
DFT formation energy: -159 meV/atom

=====

5.
The following is a DFT calculation (PBE-GGA) of a relaxed TaBeTc2 crystal. Values from VASP.

Cell and atoms, written as Quantum ESPRESSO input:
```
&SYSTEM
  ibrav = 0, nat = 8, ntyp = 3
/
ATOMIC_SPECIES
Ta 180.95 Ta.upf
Be 9.01 Be.upf
Tc 98.00 Tc.upf
ATOMIC_POSITIONS angstrom
Ta 0.000 0.000 0.000
Ta 4.836 1.561 0.000
Be 2.062 1.561 1.000
Be 6.898 0.000 1.000
Tc -0.899 1.561 1.892
Tc 1.031 0.000 2.824
Tc 3.937 0.000 1.892
Tc 5.867 1.561 2.824
CELL_PARAMETERS angstrom
9.672 0.000 0.000
0.000 3.123 0.000
-1.812 0.000 3.778
```

Output
calculated density: 11.23 g cm⁻³
SG: Cm, No. 8
DOS at the Fermi energy: 1.122 states/eV per atom
energy: -73.221 eV per cell
DFT formation energy: -75 meV/atom

=====

6.
The following is a DFT calculation (PBE-GGA) of a relaxed Ta2BeTc crystal. Values from VASP.

Cell and atoms, written as Quantum ESPRESSO input:
```
&SYSTEM
  ibrav = 0, nat = 16, ntyp = 3
/
ATOMIC_SPECIES
Ta 180.95 Ta.upf
Be 9.01 Be.upf
Tc 98.00 Tc.upf
ATOMIC_POSITIONS angstrom
Ta 1.598 1.741 0.654
Ta 1.741 5.080 1.961
Ta 1.741 5.367 4.575
Ta 1.884 1.741 3.268
Ta 5.080 5.223 3.268
Ta 5.223 1.598 4.575
Ta 5.223 1.884 1.961
Ta 5.367 5.223 0.654
Be 0.000 0.000 0.000
Be 0.000 3.482 1.307
Be 3.482 0.000 3.922
Be 3.482 3.482 2.614
Tc 0.000 0.000 2.614
Tc 0.000 3.482 3.922
Tc 3.482 0.000 1.307
Tc 3.482 3.482 0.000
CELL_PARAMETERS angstrom
6.964 0.000 0.000
0.000 6.964 0.000
0.000 0.000 5.229
```

Output
calculated density: 12.28 g cm⁻³
SG: I-42d, No. 122
DOS at the Fermi energy: 0.843 states/eV per atom
energy: -141.882 eV per cell
DFT formation energy: 582 meV/atom

=====

7.
The following is a DFT calculation (PBE-GGA) of a relaxed TaBeTc2 crystal. Values from VASP.

Cell and atoms, written as Quantum ESPRESSO input:
```
&SYSTEM
  ibrav = 0, nat = 16, ntyp = 3
/
ATOMIC_SPECIES
Ta 180.95 Ta.upf
Be 9.01 Be.upf
Tc 98.00 Tc.upf
ATOMIC_POSITIONS angstrom
Ta 0.000 0.000 0.000
Ta 0.000 3.504 1.192
Ta 3.504 0.000 3.575
Ta 3.504 3.504 2.383
Be 0.000 0.000 2.383
Be 0.000 3.504 3.575
Be 3.504 0.000 1.192
Be 3.504 3.504 0.000
Tc 1.186 1.752 2.979
Tc 1.752 4.690 4.171
Tc 1.752 5.821 1.788
Tc 2.317 1.752 0.596
Tc 4.690 5.255 0.596
Tc 5.255 1.186 1.788
Tc 5.255 2.317 4.171
Tc 5.821 5.255 2.979
CELL_PARAMETERS angstrom
7.007 0.000 0.000
0.000 7.007 0.000
0.000 0.000 4.767
```

Output
calculated density: 10.95 g cm⁻³
SG: I-42d, No. 122
DOS at the Fermi energy: 0.949 states/eV per atom
energy: -139.788 eV per cell
DFT formation energy: 341 meV/atom

=====

8.
The following is a DFT calculation (PBE-GGA) of a relaxed Ta2BeTc crystal. Values from VASP.

Cell and atoms, written as Quantum ESPRESSO input:
```
&SYSTEM
  ibrav = 0, nat = 4, ntyp = 3
/
ATOMIC_SPECIES
Ta 180.95 Ta.upf
Be 9.01 Be.upf
Tc 98.00 Tc.upf
ATOMIC_POSITIONS angstrom
Ta 0.423 0.000 1.311
Ta 1.285 0.000 3.932
Be -0.525 2.139 2.621
Tc 1.378 2.139 0.000
CELL_PARAMETERS angstrom
2.757 0.000 0.000
0.000 4.278 0.000
-1.049 0.000 5.243
```

Output
calculated density: 12.59 g cm⁻³
SG: P2/m, No. 10
DOS at the Fermi energy: 0.625 states/eV per atom
energy: -37.557 eV per cell
DFT formation energy: 60 meV/atom

=====

9.
The following is a DFT calculation (PBE-GGA) of a relaxed TaBeTc2 crystal. Values from VASP.

Cell and atoms, written as Quantum ESPRESSO input:
```
&SYSTEM
  ibrav = 0, nat = 4, ntyp = 3
/
ATOMIC_SPECIES
Ta 180.95 Ta.upf
Be 9.01 Be.upf
Tc 98.00 Tc.upf
ATOMIC_POSITIONS angstrom
Ta 0.000 0.000 0.000
Be 0.988 0.000 2.540
Tc 0.102 2.102 3.719
Tc 1.873 2.102 1.361
CELL_PARAMETERS angstrom
2.709 0.000 0.000
0.000 4.204 0.000
-0.733 0.000 5.080
```

Output
calculated density: 11.08 g cm⁻³
SG: P2/m, No. 10
DOS at the Fermi energy: 0.704 states/eV per atom
energy: -36.306 eV per cell
DFT formation energy: 1 meV/atom

=====

10.
The following is a DFT calculation (PBE-GGA) of a relaxed TaBeTc2 crystal. Values from VASP.

Cell and atoms, written as Quantum ESPRESSO input:
```
&SYSTEM
  ibrav = 0, nat = 4, ntyp = 3
/
ATOMIC_SPECIES
Ta 180.95 Ta.upf
Be 9.01 Be.upf
Tc 98.00 Tc.upf
ATOMIC_POSITIONS angstrom
Ta 0.000 0.000 0.000
Be 1.581 1.581 4.219
Tc 0.000 0.000 3.144
Tc 1.581 1.581 1.502
CELL_PARAMETERS angstrom
3.162 0.000 0.000
0.000 3.162 0.000
0.000 0.000 5.676
```

Output
calculated density: 11.30 g cm⁻³
SG: P4mm, No. 99
DOS at the Fermi energy: 0.765 states/eV per atom
energy: -36.550 eV per cell
DFT formation energy: -60 meV/atom

=====

11.
The following is a DFT calculation (PBE-GGA) of a relaxed Ta2BeTc crystal. Values from VASP.

Cell and atoms, written as Quantum ESPRESSO input:
```
&SYSTEM
  ibrav = 0, nat = 8, ntyp = 3
/
ATOMIC_SPECIES
Ta 180.95 Ta.upf
Be 9.01 Be.upf
Tc 98.00 Tc.upf
ATOMIC_POSITIONS angstrom
Ta 0.000 0.000 0.000
Ta 0.000 2.197 2.103
Ta 1.583 0.000 6.543
Ta 1.583 2.197 4.441
Be 0.000 0.000 4.167
Be 1.583 2.197 8.608
Tc 0.000 2.197 6.565
Tc 1.583 0.000 2.124
CELL_PARAMETERS angstrom
3.165 0.000 0.000
0.000 4.394 0.000
0.000 0.000 8.881
```

Output
calculated density: 12.61 g cm⁻³
SG: Imm2, No. 44
DOS at the Fermi energy: 0.763 states/eV per atom
energy: -75.856 eV per cell
DFT formation energy: -33 meV/atom

=====

12.
The following is a DFT calculation (PBE-GGA) of a relaxed Ta2BeTc crystal. Values from VASP.

Cell and atoms, written as Quantum ESPRESSO input:
```
&SYSTEM
  ibrav = 0, nat = 8, ntyp = 3
/
ATOMIC_SPECIES
Ta 180.95 Ta.upf
Be 9.01 Be.upf
Tc 98.00 Tc.upf
ATOMIC_POSITIONS angstrom
Ta 0.000 2.083 1.764
Ta 0.000 2.083 5.292
Ta 2.083 0.000 1.764
Ta 2.083 0.000 5.292
Be 0.000 0.000 0.000
Be 2.083 2.083 3.528
Tc 0.000 0.000 3.528
Tc 2.083 2.083 0.000
CELL_PARAMETERS angstrom
4.166 0.000 0.000
0.000 4.166 0.000
0.000 0.000 7.056
```

Output
calculated density: 12.72 g cm⁻³
SG: I4/mmm, No. 139
DOS at the Fermi energy: 0.585 states/eV per atom
energy: -75.789 eV per cell
DFT formation energy: -24 meV/atom

=====

13.
The following is a DFT calculation (PBE-GGA) of a relaxed TaBeTc3 crystal. Values from VASP.

Cell and atoms, written as Quantum ESPRESSO input:
```
&SYSTEM
  ibrav = 0, nat = 5, ntyp = 3
/
ATOMIC_SPECIES
Ta 180.95 Ta.upf
Be 9.01 Be.upf
Tc 98.00 Tc.upf
ATOMIC_POSITIONS angstrom
Ta 0.000 0.000 0.000
Be 2.359 2.359 2.359
Tc 0.000 0.000 2.359
Tc 0.000 2.359 0.000
Tc 2.359 0.000 0.000
CELL_PARAMETERS angstrom
4.718 0.000 0.000
0.000 4.718 0.000
0.000 0.000 4.718
```

Output
calculated density: 7.65 g cm⁻³
SG: Pm-3m, No. 221
energy above the most stable polymorph in this dataset: 1696 meV/atom
DOS at the Fermi energy: 1.245 states/eV per atom
energy: -36.526 eV per cell
DFT formation energy: 2030 meV/atom

=====

14.
The following is a DFT calculation (PBE-GGA) of a relaxed Ta2BeTc crystal. Values from VASP.

Cell and atoms, written as Quantum ESPRESSO input:
```
&SYSTEM
  ibrav = 0, nat = 4, ntyp = 3
/
ATOMIC_SPECIES
Ta 180.95 Ta.upf
Be 9.01 Be.upf
Tc 98.00 Tc.upf
ATOMIC_POSITIONS angstrom
Ta 0.000 0.000 0.000
Ta -0.002 2.116 2.862
Be 1.562 0.000 2.167
Tc 1.627 2.116 0.620
CELL_PARAMETERS angstrom
3.081 0.000 0.000
0.000 4.232 0.000
-1.031 0.000 4.753
```

Output
calculated density: 12.56 g cm⁻³
SG: Pm, No. 6
DOS at the Fermi energy: 0.774 states/eV per atom
energy: -37.957 eV per cell
DFT formation energy: -40 meV/atom

=====

15.
The following is a DFT calculation (PBE-GGA) of a relaxed TaBeTc2 crystal. Values from VASP.

Cell and atoms, written as Quantum ESPRESSO input:
```
&SYSTEM
  ibrav = 0, nat = 4, ntyp = 3
/
ATOMIC_SPECIES
Ta 180.95 Ta.upf
Be 9.01 Be.upf
Tc 98.00 Tc.upf
ATOMIC_POSITIONS angstrom
Ta 0.000 0.000 0.000
Be 0.443 2.126 3.816
Tc 0.773 0.000 2.470
Tc 1.949 2.126 1.513
CELL_PARAMETERS angstrom
2.814 0.000 0.000
0.000 4.252 0.000
-0.986 0.000 4.804
```

Output
calculated density: 11.15 g cm⁻³
SG: Pm, No. 6
DOS at the Fermi energy: 0.850 states/eV per atom
energy: -36.391 eV per cell
DFT formation energy: -20 meV/atom

=====

16.
The following is a DFT calculation (PBE-GGA) of a relaxed TaBe17Tc crystal. Values from VASP.

Cell and atoms, written as Quantum ESPRESSO input:
```
&SYSTEM
  ibrav = 0, nat = 19, ntyp = 3
/
ATOMIC_SPECIES
Ta 180.95 Ta.upf
Be 9.01 Be.upf
Tc 98.00 Tc.upf
ATOMIC_POSITIONS angstrom
Ta 0.000 0.000 0.000
Be -1.119 -1.880 3.606
Be -2.188 -0.030 3.606
Be -1.821 -1.051 5.533
Be 0.000 0.000 2.575
Be 0.000 -2.152 5.357
Be -1.864 1.076 5.357
Be 1.119 -1.880 3.606
Be -1.068 1.909 3.606
Be 0.000 0.000 4.692
Be -1.760 -1.016 8.797
Be 2.188 -0.030 3.606
Be 1.068 1.909 3.606
Be 1.821 -1.051 5.533
Be 0.000 2.103 5.533
Be 1.864 1.076 5.357
Be 1.760 -1.016 8.797
Be 0.000 2.033 8.797
Tc 0.000 0.000 7.193
CELL_PARAMETERS angstrom
3.652 2.109 3.543
-3.652 2.109 3.543
0.000 -4.217 3.543
```

Output
calculated density: 4.38 g cm⁻³
SG: R3m, No. 160
DOS at the Fermi energy: 0.208 states/eV per atom
energy: -88.972 eV per cell
DFT formation energy: -179 meV/atom

=====

17.
The following is a DFT calculation (PBE-GGA) of a relaxed TaBe4Tc crystal. Values from VASP.

Cell and atoms, written as Quantum ESPRESSO input:
```
&SYSTEM
  ibrav = 0, nat = 6, ntyp = 3
/
ATOMIC_SPECIES
Ta 180.95 Ta.upf
Be 9.01 Be.upf
Tc 98.00 Tc.upf
ATOMIC_POSITIONS angstrom
Ta 0.000 0.000 0.000
Be 2.379 2.379 2.379
Be 3.954 3.954 2.379
Be 3.954 2.379 3.954
Be 2.379 3.954 3.954
Tc 4.750 4.750 4.750
CELL_PARAMETERS angstrom
0.000 3.167 3.167
3.167 0.000 3.167
3.167 3.167 0.000
```

Output
calculated density: 8.24 g cm⁻³
SG: F-43m, No. 216
DOS at the Fermi energy: 0.051 states/eV per atom
energy: -39.761 eV per cell
DFT formation energy: -440 meV/atom

=====

18.
The following is a DFT calculation (PBE-GGA) of a relaxed Ta2BeTc crystal. Values from VASP.

Cell and atoms, written as Quantum ESPRESSO input:
```
&SYSTEM
  ibrav = 0, nat = 4, ntyp = 3
/
ATOMIC_SPECIES
Ta 180.95 Ta.upf
Be 9.01 Be.upf
Tc 98.00 Tc.upf
ATOMIC_POSITIONS angstrom
Ta 0.000 0.000 0.000
Ta 1.380 1.380 2.399
Be 1.380 1.380 6.121
Tc 0.000 0.000 4.618
CELL_PARAMETERS angstrom
2.761 0.000 0.000
0.000 2.761 0.000
0.000 0.000 7.913
```

Output
calculated density: 12.91 g cm⁻³
SG: P4mm, No. 99
DOS at the Fermi energy: 1.336 states/eV per atom
energy: -37.298 eV per cell
DFT formation energy: 125 meV/atom

=====

19.
The following is a DFT calculation (PBE-GGA) of a relaxed Ta2Be2Tc crystal. Values from VASP.

Cell and atoms, written as Quantum ESPRESSO input:
```
&SYSTEM
  ibrav = 0, nat = 10, ntyp = 3
/
ATOMIC_SPECIES
Ta 180.95 Ta.upf
Be 9.01 Be.upf
Tc 98.00 Tc.upf
ATOMIC_POSITIONS angstrom
Ta 1.128 2.036 0.000
Ta 2.036 5.200 0.000
Ta 4.292 1.128 0.000
Ta 5.200 4.292 0.000
Be 0.745 3.909 1.647
Be 2.419 0.745 1.647
Be 3.909 5.583 1.647
Be 5.583 2.419 1.647
Tc 0.000 0.000 1.647
Tc 3.164 3.164 1.647
CELL_PARAMETERS angstrom
6.328 0.000 0.000
0.000 6.328 0.000
0.000 0.000 3.294
```

Output
calculated density: 12.03 g cm⁻³
SG: P4/mbm, No. 127
DOS at the Fermi energy: 0.361 states/eV per atom
energy: -86.878 eV per cell
DFT formation energy: -383 meV/atom

=====

20.
The following is a DFT calculation (PBE-GGA) of a relaxed Ta2BeTc crystal. Values from VASP.

Cell and atoms, written as Quantum ESPRESSO input:
```
&SYSTEM
  ibrav = 0, nat = 8, ntyp = 3
/
ATOMIC_SPECIES
Ta 180.95 Ta.upf
Be 9.01 Be.upf
Tc 98.00 Tc.upf
ATOMIC_POSITIONS angstrom
Ta 0.000 0.000 1.836
Ta 0.000 0.000 6.209
Ta 1.689 2.214 1.836
Ta 1.689 2.214 6.209
Be 0.000 2.214 0.000
Be 1.689 0.000 0.000
Tc 0.000 2.214 4.022
Tc 1.689 0.000 4.022
CELL_PARAMETERS angstrom
3.378 0.000 0.000
0.000 4.428 0.000
0.000 0.000 8.045
```

Output
calculated density: 12.94 g cm⁻³
SG: Cmmm, No. 65
DOS at the Fermi energy: 0.441 states/eV per atom
energy: -75.506 eV per cell
DFT formation energy: 11 meV/atom

=====

| no. | magnetization (μB per atom) |
| --- | --- |
| 1 | 0.000 |
| 2 | 0.000 |
| 3 | 0.000 |
| 4 | 0.000 |
| 5 | 0.057 |
| 6 | 0.000 |
| 7 | 0.000 |
| 8 | 0.000 |
| 9 | 0.000 |
| 10 | 0.000 |
| 11 | 0.000 |
| 12 | 0.000 |
| 13 | 0.534 |
| 14 | 0.000 |
| 15 | 0.000 |
| 16 | 0.000 |
| 17 | 0.000 |
| 18 | 0.000 |
| 19 | 0.000 |
| 20 | 0.000 |